Entry from Alexandria via LeMat-Bulk: an optimized crystal structure of CoMo2Se (PBE).

Cell and atoms, written as extended XYZ:
```
4
Lattice="-1.5028 2.1980 4.3111 1.5028 -2.1980 4.3111 1.5028 2.1980 -4.3111" Properties=species:S:1:pos:R:3 pbc="T T T"
Co 0.0000 0.0000 0.0000
Mo 1.5028 0.0000 2.2566
Mo 0.0000 0.0000 4.7175
Se 0.0000 2.1980 2.5039
```

E_form (uncorrected) ... 67 kJ/mol of formula units
Crystal system ... orthorhombic
Size of the total moment ... 0.0 μB/f.u.
Excess energy over the best structure of this formula in the dataset ... 36 meV/atom
SG ... No. 44

---

Entry from Alexandria via LeMat-Bulk: an optimized crystal structure of Co2MoSe (PBE).

Cell and atoms, written as extended XYZ:
```
4
Lattice="3.2430 0.0000 0.0000 0.0000 3.2430 0.0000 0.0000 0.0000 5.1040" Properties=species:S:1:pos:R:3 pbc="T T T"
Co 0.0000 0.0000 1.2142
Co 0.0000 0.0000 3.8897
Mo 1.6215 1.6215 0.0000
Se 1.6215 1.6215 2.5520
```

E_form (uncorrected) ... 64 kJ/mol of formula units
Crystal system ... tetragonal
Size of the total moment ... 0.0 μB/f.u.
Excess energy over the best structure of this formula in the dataset ... 5 meV/atom
SG ... No. 123

---

Entry from Alexandria via LeMat-Bulk: an optimized crystal structure of CoMo2Se (PBE).

Cell and atoms, written as extended XYZ:
```
4
Lattice="0.0000 3.1071 3.1071 3.1071 0.0000 3.1071 3.1071 3.1071 0.0000" Properties=species:S:1:pos:R:3 pbc="T T T"
Co 0.0000 0.0000 0.0000
Mo 1.5535 1.5535 1.5535
Mo 3.1071 3.1071 3.1071
Se 4.6606 4.6606 4.6606
```

E_form (uncorrected) ... 185 kJ/mol of formula units
Crystal system ... cubic
Size of the total moment ... 2.5 μB/f.u.
Excess energy over the best structure of this formula in the dataset ... 340 meV/atom
SG ... No. 216

---

Entry from Alexandria via LeMat-Bulk: an optimized crystal structure of Co2MoSe (PBE).

Cell and atoms, written as extended XYZ:
```
4
Lattice="2.9578 0.0000 0.0000 0.0000 3.3813 0.0000 -1.4762 0.0000 5.3883" Properties=species:S:1:pos:R:3 pbc="T T T"
Co 0.0000 0.0000 0.0000
Co 0.0112 1.6906 3.9033
Mo 1.4880 1.6906 1.1953
Se 1.4911 0.0000 3.1129
```

E_form (uncorrected) ... 62 kJ/mol of formula units
Crystal system ... monoclinic
Size of the total moment ... 0.0 μB/f.u.
Excess energy over the best structure of this formula in the dataset ... 0 meV/atom
SG ... No. 6

---

Question: Which of these has the highest E_form (uncorrected)?
Answer: number 3